Record 1
DFT (PBE) results for an optimized crystal structure of PmTmCo2P2.

Output
- DOS at the Fermi energy: 4.9 states/eV/cell
- ΔH_f (0 K): -1049 meV/atom

Cell lengths 3.8349, 3.8349, 8.0634 Å; angles 90.00, 90.00, 120.00 degrees
Sites, in units of the cell vectors:
P1 0.3333 0.6667 0.2626
Co1 0.3333 0.6667 0.7438
Co2 0.6667 0.3333 0.2562
P2 0.6667 0.3333 0.7374
Pm1 0.0000 0.0000 0.0000
Tm1 0.0000 0.0000 0.5000

---

Record 2
DFT (PBE) results for an optimized crystal structure of PrCo4P12.

Output
- DOS at the Fermi energy: 10.4 states/eV/cell
- ΔH_f (0 K): -533 meV/atom

Cell lengths 6.7771, 6.7771, 6.7771 Å; angles 109.47, 109.47, 109.47 degrees
Sites, in units of the cell vectors:
P1 0.3537 0.2056 0.8519
Co1 0.0000 0.5000 0.0000
P2 0.8519 0.3537 0.2056
P3 0.5017 0.1481 0.3537
Co2 0.5000 0.0000 0.0000
Co3 0.5000 0.5000 0.5000
Pr1 0.0000 0.0000 0.0000
P4 0.4983 0.8519 0.6463
Co4 0.0000 0.0000 0.5000
P5 0.7944 0.1481 0.6463
P6 0.1481 0.3537 0.5017
P7 0.3537 0.5017 0.1481
P8 0.6463 0.7944 0.1481
P9 0.8519 0.6463 0.4983
P10 0.2056 0.8519 0.3537
P11 0.1481 0.6463 0.7944
P12 0.6463 0.4983 0.8519